First-principles (GGA-PBE) data for Zn4AgPd7 after structural relaxation, as listed in Alexandria.

The structure in CIF format:
```
data_Zn4AgPd7
_chemical_formula_sum 'Zn4 Ag1 Pd7'
_space_group_name_H-M_alt 'P 1'
_space_group_IT_number 1
_space_group_name_Hall 'P 1'
_cell_length_a 6.038
_cell_length_b 6.038
_cell_length_c 8.861
_cell_angle_alpha 119.66
_cell_angle_beta 119.66
_cell_angle_gamma 47.34
loop_
_atom_site_label
_atom_site_type_symbol
_atom_site_fract_x
_atom_site_fract_y
_atom_site_fract_z
Zn1 Zn 0.065 0.065 0.268
Zn2 Zn 0.219 0.219 0.823
Zn3 Zn 0.781 0.781 0.177
Zn4 Zn 0.935 0.935 0.732
Ag1 Ag 0.500 0.500 0.500
Pd1 Pd 0.000 0.000 0.500
Pd2 Pd 0.156 0.156 0.067
Pd3 Pd 0.287 0.287 0.592
Pd4 Pd 0.436 0.436 0.142
Pd5 Pd 0.564 0.564 0.858
Pd6 Pd 0.713 0.713 0.408
Pd7 Pd 0.844 0.844 0.933
```

## Properties
Theoretical density ... 9.26 g cm⁻³
Electronic total energy ... -3.81 eV/atom
D(E_F) ... 4.5 states/eV/f.u.
Energy relative to the elements ... -1.5 eV per formula unit
Space group ... C2/m